Entry 1:
VASP calculation (PBE) on a geometry-optimized AcSmTe structure.

Cell and atoms, written as CIF:
```
data_AcSmTe
_chemical_formula_sum 'Ac1 Sm1 Te1'
_symmetry_space_group_name_H-M 'P -6 m 2'
_symmetry_Int_Tables_number 187
_symmetry_space_group_name_Hall 'P -6 2'
_cell_length_a 5.4024
_cell_length_b 5.4024
_cell_length_c 4.2420
_cell_angle_alpha 90.00
_cell_angle_beta 90.00
_cell_angle_gamma 120.00
loop_
_atom_site_label
_atom_site_type_symbol
_atom_site_fract_x
_atom_site_fract_y
_atom_site_fract_z
_atom_site_occupancy
Ac1 Ac 0.0000 0.0000 0.0000 1
Sm1 Sm 0.6667 0.3333 0.5000 1
Te1 Te 0.3333 0.6667 0.5000 1
```

Values from the calculation:
Raw formation energy = -1.745 eV/f.u.
Total DFT energy (no corrections) = -13.7 eV/cell
D(E_F) = 1.429 states/eV/atom

***

Entry 2:
VASP calculation (PBE) on a geometry-optimized Ac2Sm3Te8 structure.

Cell and atoms, written as CIF:
```
data_Ac2Sm3Te8
_chemical_formula_sum 'Ac4 Sm6 Te16'
_symmetry_space_group_name_H-M 'C 1 2/m 1'
_symmetry_Int_Tables_number 12
_cell_length_a 16.049
_cell_length_b 9.115
_cell_length_c 7.799
_cell_angle_alpha 90.00
_cell_angle_beta 108.82
_cell_angle_gamma 90.00
loop_
_symmetry_equiv_pos_as_xyz
'x,y,z'
'-x,-y,-z'
'-x,y,-z'
'x,-y,z'
'x+1/2,y+1/2,z'
'-x+1/2,-y+1/2,-z'
'-x+1/2,y+1/2,-z'
'x+1/2,-y+1/2,z'
loop_
_atom_site_label
_atom_site_type_symbol
_atom_site_fract_x
_atom_site_fract_y
_atom_site_fract_z
_atom_site_occupancy
Ac1 Ac 0.243 0.000 0.166 1
Sm1 Sm 0.000 0.241 0.500 1
Sm2 Sm 0.000 0.500 0.000 1
Te1 Te 0.114 0.500 0.413 1
Te2 Te 0.116 0.259 0.909 1
Te3 Te 0.123 0.000 0.438 1
```

Values from the calculation:
Raw formation energy = -17.501 eV/f.u.
Total DFT energy (no corrections) = -130.0 eV/cell
D(E_F) = 0.563 states/eV/atom

***

Entry 3:
VASP calculation (PBE) on a geometry-optimized AcSm2Te4 structure.

Cell and atoms, written as CIF:
```
data_AcSm2Te4
_chemical_formula_sum 'Ac4 Sm8 Te16'
_symmetry_space_group_name_H-M 'C m c m'
_symmetry_Int_Tables_number 63
_symmetry_space_group_name_Hall '-C 2c 2'
_cell_length_a 4.479
_cell_length_b 14.626
_cell_length_c 15.314
_cell_angle_alpha 90.00
_cell_angle_beta 90.00
_cell_angle_gamma 90.00
loop_
_atom_site_label
_atom_site_type_symbol
_atom_site_fract_x
_atom_site_fract_y
_atom_site_fract_z
_atom_site_occupancy
Ac1 Ac 0.000 0.120 0.250 1
Sm1 Sm 0.000 0.370 0.063 1
Te1 Te 0.000 0.000 0.000 1
Te2 Te 0.000 0.273 0.621 1
Te3 Te 0.000 0.453 0.250 1
```

Values from the calculation:
Raw formation energy = -10.323 eV/f.u.
Total DFT energy (no corrections) = -145.7 eV/cell
D(E_F) = 0.344 states/eV/atom

***

Entry 4:
VASP calculation (PBE) on a geometry-optimized AcSm3Te4 structure.

Cell and atoms, written as CIF:
```
data_AcSm3Te4
_chemical_formula_sum 'Ac2 Sm6 Te8'
_symmetry_space_group_name_H-M 'C m m m'
_symmetry_Int_Tables_number 65
_symmetry_space_group_name_Hall '-C 2 2'
_cell_length_a 9.160
_cell_length_b 12.790
_cell_length_c 4.459
_cell_angle_alpha 90.00
_cell_angle_beta 90.00
_cell_angle_gamma 90.00
loop_
_atom_site_label
_atom_site_type_symbol
_atom_site_fract_x
_atom_site_fract_y
_atom_site_fract_z
_atom_site_occupancy
Ac1 Ac 0.000 0.000 0.000 1
Sm1 Sm 0.000 0.500 0.000 1
Sm2 Sm 0.250 0.250 0.500 1
Te1 Te 0.000 0.256 0.000 1
Te2 Te 0.237 0.500 0.500 1
```

Values from the calculation:
Raw formation energy = -11.165 eV/f.u.
Total DFT energy (no corrections) = -84.0 eV/cell
D(E_F) = 0.650 states/eV/atom

***

Entry 5:
VASP calculation (PBE) on a geometry-optimized Ac5Sm3Te12 structure.

Cell and atoms, written as CIF:
```
data_Ac5Sm3Te12
_chemical_formula_sum 'Ac40 Sm24 Te96'
_symmetry_space_group_name_H-M 'I a -3 d'
_symmetry_Int_Tables_number 230
_symmetry_space_group_name_Hall '-I 4bd 2c 3'
_cell_length_a 19.045
_cell_length_b 19.045
_cell_length_c 19.045
_cell_angle_alpha 90.00
_cell_angle_beta 90.00
_cell_angle_gamma 90.00
loop_
_atom_site_label
_atom_site_type_symbol
_atom_site_fract_x
_atom_site_fract_y
_atom_site_fract_z
_atom_site_occupancy
Ac1 Ac 0.000 0.000 0.000 1
Ac2 Ac 0.000 0.250 0.375 1
Sm1 Sm 0.000 0.250 0.125 1
Te1 Te 0.020 0.081 0.652 1
```

Values from the calculation:
Raw formation energy = -23.886 eV/f.u.
Total DFT energy (no corrections) = -770.3 eV/cell

***

Entry 6:
VASP calculation (PBE) on a geometry-optimized Ac2SmTe4 structure.

Cell and atoms, written as CIF:
```
data_Ac2SmTe4
_chemical_formula_sum 'Ac4 Sm2 Te8'
_symmetry_space_group_name_H-M 'C 1 2/m 1'
_symmetry_Int_Tables_number 12
_cell_length_a 15.211
_cell_length_b 4.403
_cell_length_c 9.458
_cell_angle_alpha 90.00
_cell_angle_beta 122.83
_cell_angle_gamma 90.00
loop_
_symmetry_equiv_pos_as_xyz
'x,y,z'
'-x,-y,-z'
'-x,y,-z'
'x,-y,z'
'x+1/2,y+1/2,z'
'-x+1/2,-y+1/2,-z'
'-x+1/2,y+1/2,-z'
'x+1/2,-y+1/2,z'
loop_
_atom_site_label
_atom_site_type_symbol
_atom_site_fract_x
_atom_site_fract_y
_atom_site_fract_z
_atom_site_occupancy
Ac1 Ac 0.141 0.000 0.204 1
Sm1 Sm 0.000 0.500 0.500 1
Te1 Te 0.060 0.500 0.874 1
Te2 Te 0.168 0.000 0.584 1
```

Values from the calculation:
Raw formation energy = -10.502 eV/f.u.
Total DFT energy (no corrections) = -72.0 eV/cell
D(E_F) = 0.191 states/eV/atom

***

Entry 7:
VASP calculation (PBE) on a geometry-optimized Ac5SmTe6 structure.

Cell and atoms, written as CIF:
```
data_Ac5SmTe6
_chemical_formula_sum 'Ac10 Sm2 Te12'
_symmetry_space_group_name_H-M 'C 1 2/m 1'
_symmetry_Int_Tables_number 12
_cell_length_a 8.086
_cell_length_b 14.088
_cell_length_c 8.129
_cell_angle_alpha 90.00
_cell_angle_beta 109.61
_cell_angle_gamma 90.00
loop_
_symmetry_equiv_pos_as_xyz
'x,y,z'
'-x,-y,-z'
'-x,y,-z'
'x,-y,z'
'x+1/2,y+1/2,z'
'-x+1/2,-y+1/2,-z'
'-x+1/2,y+1/2,-z'
'x+1/2,-y+1/2,z'
loop_
_atom_site_label
_atom_site_type_symbol
_atom_site_fract_x
_atom_site_fract_y
_atom_site_fract_z
_atom_site_occupancy
Ac1 Ac 0.000 0.000 0.000 1
Ac2 Ac 0.000 0.165 0.500 1
Ac3 Ac 0.000 0.327 0.000 1
Sm1 Sm 0.000 0.500 0.500 1
Te1 Te 0.238 0.500 0.251 1
Te2 Te 0.240 0.339 0.741 1
```

Values from the calculation:
Raw formation energy = -17.616 eV/f.u.
Total DFT energy (no corrections) = -123.5 eV/cell
D(E_F) = 0.595 states/eV/atom

***

Entry 8:
VASP calculation (PBE) on a geometry-optimized Ac3SmTe6 structure.

Cell and atoms, written as CIF:
```
data_Ac3SmTe6
_chemical_formula_sum 'Ac18 Sm6 Te36'
_symmetry_space_group_name_H-M 'R -3'
_symmetry_Int_Tables_number 148
_symmetry_space_group_name_Hall '-R 3'
_cell_length_a 14.4593
_cell_length_b 14.4593
_cell_length_c 13.6238
_cell_angle_alpha 90.00
_cell_angle_beta 90.00
_cell_angle_gamma 120.00
loop_
_atom_site_label
_atom_site_type_symbol
_atom_site_fract_x
_atom_site_fract_y
_atom_site_fract_z
_atom_site_occupancy
Ac1 Ac 0.0500 0.4404 0.3214 1
Sm1 Sm 0.0000 0.0000 0.0000 1
Sm2 Sm 0.0000 0.0000 0.5000 1
Te1 Te 0.0361 0.2073 0.3921 1
Te2 Te 0.0509 0.2054 0.8842 1
```

Values from the calculation:
Raw formation energy = -14.996 eV/f.u.
Total DFT energy (no corrections) = -305.3 eV/cell

***

Question: total DFT energy (no corrections) of number 1 (AcSmTe)?
Answer: -13.7 eV/cell

***

Question: Which of these has the highest raw formation energy?
Answer: AcSmTe

***

Question: Among the records above, which one has the highest total DFT energy (no corrections)?
Answer: AcSmTe

***

Question: Among the records above, which one has the lowest raw formation energy?
Answer: Ac5Sm3Te12